No. 1
Compound: Re5Os3
Source: Alexandria
Functional: PBE-GGA
Structure: relaxed

Cell lengths 7.785, 7.787, 3.894 Å; angles 90.00, 90.00, 90.00 degrees
Space group Cmmm (No. 65)
One atom of each set of equivalent atoms:
Re1 0.000 0.000 0.000 x2
Re2 0.000 0.253 0.500 x4
Re3 0.250 0.250 0.000 x4
Os1 0.000 0.500 0.000 x2
Os2 0.248 0.500 0.500 x4

Values from the calculation:
- ΔH_f (0 K): 0.059 eV per atom
- M_tot: 0.00 Bohr magnetons per cell
- E above lowest polymorph: 0.00 eV per formula unit

---

No. 2
Compound: Tb2CePmNd6
Source: Alexandria
Functional: PBE-GGA
Structure: relaxed

Cell lengths 11.373, 7.012, 8.960 Å; angles 90.00, 103.29, 90.00 degrees
Space group C2/m (No. 12)
One atom of each set of equivalent atoms:
Tb1 0.091 0.000 0.160 x4
Ce1 0.000 0.500 0.000 x2
Pm1 0.000 0.000 0.500 x2
Nd1 0.127 0.500 0.416 x4
Nd2 0.172 0.236 0.799 x8

Values from the calculation:
- ΔH_f (0 K): 0.235 eV per atom
- M_tot: 2.35 Bohr magnetons per cell